RbNd2I6: relaxed, PBE.

Cell lengths 7.9043, 7.9043, 8.6956 Å; angles 90.00, 90.00, 120.00 degrees
Space group P-31m (No. 162)
Symmetry-distinct sites (fractional):
1 Rb 0.0000 0.0000 0.0000 [1 per cell]
2 Nd 0.3333 0.6667 0.5000 [2 per cell]
3 I 0.0000 0.3568 0.7172 [6 per cell]

- density (kg/m3) = 4007
- formation energy (no corrections) (eV per atom) = -1.361
- total DFT energy (no corrections) (eV/cell) = -32.1

RbNdI3: relaxed, PBE.

Cell lengths 6.242, 6.242, 6.242 Å; angles 90.00, 90.00, 90.00 degrees
Space group Pm-3m (No. 221)
Symmetry-distinct sites (fractional):
1 Rb 0.000 0.000 0.000 [1 per cell]
2 Nd 0.500 0.500 0.500 [1 per cell]
3 I 0.000 0.500 0.500 [3 per cell]

- density (kg/m3) = 4167
- formation energy (no corrections) (eV per atom) = -1.243
- total DFT energy (no corrections) (eV/cell) = -16.6
- energy above the most stable polymorph in this dataset (meV/atom) = 94.1

RbNdSn2I8: relaxed, PBE.

Cell lengths 7.408, 7.887, 9.782 Å; angles 89.87, 89.85, 88.91 degrees
Space group P-1 (No. 2)
Symmetry-distinct sites (fractional):
1 Rb 0.000 0.000 0.000 [1 per cell]
2 Nd 0.000 0.000 0.500 [1 per cell]
3 Sn 0.500 0.500 0.248 [2 per cell]
4 I 0.242 0.330 0.500 [2 per cell]
5 I 0.257 0.840 0.721 [2 per cell]
6 I 0.258 0.841 0.279 [2 per cell]
7 I 0.271 0.376 0.001 [2 per cell]

- density (kg/m3) = 4308
- formation energy (no corrections) (eV per atom) = -0.927
- total DFT energy (no corrections) (eV/cell) = -37.3

RbSrNdI6: relaxed, PBE.

Cell lengths 8.3648, 8.3648, 15.8401 Å; angles 90.00, 90.00, 120.00 degrees
Space group P-31c (No. 163)
Symmetry-distinct sites (fractional):
1 Rb 0.0000 0.0000 0.0000 [2 per cell]
2 Sr 0.3333 0.6667 0.2500 [2 per cell]
3 Nd 0.3333 0.6667 0.7500 [2 per cell]
4 I 0.0145 0.3783 0.6338 [12 per cell]

- density (kg/m3) = 3733
- formation energy (no corrections) (eV per atom) = -1.541
- total DFT energy (no corrections) (eV/cell) = -61.2

Rb2NdTlI6: relaxed, PBE.

Cell lengths 8.9481, 8.9481, 22.6210 Å; angles 90.00, 90.00, 120.00 degrees
Space group R3 (No. 146, hexagonal axes)
Symmetry-distinct sites (fractional):
1 Rb 0.0000 0.0000 0.0000 [3 per cell]
2 Rb 0.0000 0.0000 0.4912 [3 per cell]
3 Nd 0.0000 0.0000 0.7033 [3 per cell]
4 Tl 0.0000 0.0000 0.2092 [3 per cell]
5 I 0.0154 0.4079 0.4457 [9 per cell]
6 I 0.0766 0.7088 0.2854 [9 per cell]

- density (kg/m3) = 4068
- formation energy (no corrections) (eV per atom) = -1.305
- total DFT energy (no corrections) (eV/cell) = -94.2

Nd2ReI: relaxed, PBE.

Cell lengths 3.5876, 3.5876, 30.8807 Å; angles 90.00, 90.00, 120.00 degrees
Space group R-3m (No. 166, hexagonal axes)
Symmetry-distinct sites (fractional):
1 Nd 0.0000 0.0000 0.0833 [6 per cell]
2 Re 0.0000 0.0000 0.0000 [3 per cell]
3 I 0.0000 0.0000 0.5000 [3 per cell]

- density (kg/m3) = 8707
- formation energy (no corrections) (eV per atom) = 0.649
- total DFT energy (no corrections) (eV/cell) = -62.8

NdReI: relaxed, PBE.

Cell lengths 4.168, 4.186, 13.305 Å; angles 90.20, 95.33, 119.68 degrees
Space group P1 (No. 1)
Symmetry-distinct sites (fractional):
1 Nd 0.000 0.000 0.000 [1 per cell]
2 Nd 0.185 0.584 0.631 [1 per cell]
3 Re 0.272 0.634 0.848 [1 per cell]
4 Re 0.593 0.293 0.818 [1 per cell]
5 I 0.400 0.699 0.167 [1 per cell]
6 I 0.452 0.214 0.468 [1 per cell]

- density (kg/m3) = 7578
- formation energy (no corrections) (eV per atom) = -0.502
- total DFT energy (no corrections) (eV/cell) = -40.5

Nd3RhI3: relaxed, PBE.

Cell lengths 9.424, 4.222, 12.573 Å; angles 90.00, 92.42, 90.00 degrees
Space group P2_1/m (No. 11)
Symmetry-distinct sites (fractional):
1 Nd 0.096 0.250 0.389 [2 per cell]
2 Nd 0.117 0.250 0.839 [2 per cell]
3 Nd 0.311 0.750 0.620 [2 per cell]
4 Rh 0.111 0.250 0.619 [2 per cell]
5 I 0.139 0.250 0.115 [2 per cell]
6 I 0.375 0.750 0.876 [2 per cell]
7 I 0.392 0.750 0.367 [2 per cell]

- density (kg/m3) = 6089
- formation energy (no corrections) (eV per atom) = -1.110
- total DFT energy (no corrections) (eV/cell) = -68.1

Which value of density does entry 8 give? 6089 kg/m3

The highest total DFT energy (no corrections) belongs to which entry? RbNdI3

The highest total DFT energy (no corrections) belongs to which entry? RbNdI3